Crystalline FeAsSe at its relaxed geometry. Source: Alexandria, functional PBE.

Unit cell a=5.8630 b=5.9541 c=6.0159 alpha=113.87 beta=90.00 gamma=90.00
With the nearest neighbours (Å) after each atom.
Atoms (fractional coordinates):
1 Fe 0.5045 0.2768 0.0387  3 As 2.32-2.45, 3 Se 2.32-2.43
2 Fe 0.0053 0.2721 0.5409  3 As 2.31-2.44, 3 Se 2.31-2.42
3 Fe 0.0045 0.7232 0.9613  3 As 2.32-2.45, 3 Se 2.32-2.43
4 Fe 0.5053 0.7279 0.4591  3 As 2.31-2.44, 3 Se 2.31-2.42
5 Se 0.6323 0.1496 0.6214  3 Fe 2.41-2.43, 1 As 2.57
6 Se 0.1368 0.3428 0.9256  3 Fe 2.31-2.34, 1 As 2.55
7 Se 0.1323 0.8504 0.3786  3 Fe 2.41-2.43, 1 As 2.57
8 Se 0.6368 0.6572 0.0744  3 Fe 2.31-2.34, 1 As 2.55
9 As 0.8653 0.1465 0.1260  3 Fe 2.38-2.45, 1 Se 2.55
10 As 0.3653 0.8535 0.8740  3 Fe 2.38-2.45, 1 Se 2.55
11 As 0.3597 0.3494 0.4201  3 Fe 2.31-2.33, 1 Se 2.57
12 As 0.8597 0.6506 0.5799  3 Fe 2.31-2.33, 1 Se 2.57

## Properties
space-group type	P2_1 (4)
formation energy (no corrections)	-0.332	eV/atom

---

Crystalline NdDyHgRu at its relaxed geometry. Source: Alexandria, functional PBE.

Unit cell a=3.5258 b=3.5258 c=7.6789 alpha=90.00 beta=90.00 gamma=90.00
With the nearest neighbours (Å) after each atom.
Atoms (fractional coordinates):
1 Dy 0.5000 0.5000 0.3500  4 Ru 2.97, 4 Hg 3.22
2 Hg 0.0000 0.0000 0.0853  4 Dy 3.22, 4 Nd 3.37, 4 Hg 3.53
3 Nd 0.5000 0.5000 0.7902  4 Ru 3.06, 4 Hg 3.37, 1 Dy 3.38
4 Ru 0.0000 0.0000 0.5591  4 Dy 2.97, 4 Nd 3.06

## Properties
energy relative to the elements	-1.59	eV per formula unit
space-group type	P4mm (99)
energy above the most stable polymorph in this dataset	0	meV per atom

---

Crystalline La6Hg5Sb at its relaxed geometry. Source: Alexandria, functional PBE.

Unit cell a=5.5257 b=7.7849 c=9.6391 alpha=113.82 beta=106.66 gamma=90.00
With the nearest neighbours (Å) after each atom.
Atoms (fractional coordinates):
1 Hg 0.6672 0.6672 0.3344  8 La 3.40-3.44, 2 Hg 3.77
2 Hg 0.6794 0.1794 0.3589  8 La 3.29-3.55
3 Hg 0.3328 0.3328 0.6656  8 La 3.40-3.44, 2 Hg 3.77
4 Hg 0.3206 0.8206 0.6411  8 La 3.29-3.55
5 Hg 0.0000 0.5000 0.0000  8 La 3.38-3.41
6 La 0.8364 0.5907 0.6728  7 Hg 3.29-3.42, 1 Sb 3.34
7 La 0.5000 0.2437 0.0000  2 Sb 3.35, 6 Hg 3.41-3.55
8 La 0.1636 0.4093 0.3272  7 Hg 3.29-3.42, 1 Sb 3.34
9 La 0.5000 0.7563 0.0000  2 Sb 3.35, 6 Hg 3.41-3.55
10 La 0.1636 0.9179 0.3272  7 Hg 3.29-3.42, 1 Sb 3.34
11 La 0.8364 0.0821 0.6728  7 Hg 3.29-3.42, 1 Sb 3.34
12 Sb 0.0000 0.0000 0.0000  8 La 3.34-3.35

## Properties
space-group type	Immm (71)
formation energy (no corrections)	-0.603	eV/atom

---

Crystalline RbHg2TeI8 at its relaxed geometry. Source: Alexandria, functional PBE.

Unit cell a=7.7062 b=8.0408 c=10.5990 alpha=73.47 beta=83.87 gamma=90.25
With the nearest neighbours (Å) after each atom.
Atoms (fractional coordinates):
1 I 0.3029 0.3192 0.9964  2 Hg 2.82-3.02
2 I 0.7699 0.1089 0.1987  1 Te 2.93
3 I 0.6971 0.6808 0.0036  2 Hg 2.82-3.02
4 I 0.1540 0.7541 0.2242  1 Te 2.99, 1 Hg 3.07
5 I 0.2301 0.8911 0.8013  1 Te 2.93
6 I 0.8460 0.2459 0.7758  1 Te 2.99, 1 Hg 3.07
7 I 0.3953 0.2805 0.4450  1 Hg 2.72
8 I 0.6047 0.7195 0.5550  1 Hg 2.72
9 Hg 0.4289 0.4893 0.1918  3 I 2.72-3.02
10 Hg 0.5711 0.5107 0.8082  3 I 2.72-3.02
11 Rb 0.0000 0.0000 0.5000  6 I 3.68-4.05
12 Te 0.0000 0.0000 0.0000  4 I 2.93-2.99

## Properties
space-group type	P-1 (2)
formation energy (no corrections)	-0.379	eV/atom

---

Crystalline TbNd3Ge4 at its relaxed geometry. Source: Alexandria, functional PBE.

Unit cell a=4.1759 b=6.4739 c=8.9696 alpha=111.16 beta=103.46 gamma=90.00
With the nearest neighbours (Å) after each atom.
Atoms (fractional coordinates):
1 Nd 0.0000 0.5000 0.0000  8 Ge 3.21
2 Nd 0.8048 0.8048 0.6095  6 Ge 3.08-3.10
3 Nd 0.1952 0.1952 0.3905  6 Ge 3.08-3.10
4 Ge 0.6298 0.4377 0.2596  1 Ge 2.49
5 Ge 0.3702 0.1782 0.7405  1 Ge 2.49
6 Ge 0.6298 0.8218 0.2595  1 Ge 2.49
7 Ge 0.3702 0.5623 0.7404  1 Ge 2.49
8 Tb 0.5000 0.0000 0.0000  4 Ge 2.90

## Properties
energy relative to the elements	-5.43	eV per formula unit
space-group type	Immm (71)

---

Crystalline BaZn3Au3 at its relaxed geometry. Source: Alexandria, functional PBE.

Unit cell a=7.1738 b=7.1738 c=7.1738 alpha=90.00 beta=90.00 gamma=90.00
With the nearest neighbours (Å) after each atom.
Atoms (fractional coordinates):
1 Au 0.5000 0.2500 0.0000  4 Zn 2.54
2 Au 0.0000 0.5000 0.2500  4 Zn 2.54
3 Au 0.2500 0.0000 0.5000  4 Zn 2.54
4 Au 0.5000 0.7500 0.0000  4 Zn 2.54
5 Au 0.0000 0.5000 0.7500  4 Zn 2.54
6 Au 0.7500 0.0000 0.5000  4 Zn 2.54
7 Zn 0.7500 0.5000 0.0000  4 Au 2.54
8 Zn 0.2500 0.5000 0.0000  4 Au 2.54
9 Zn 0.5000 0.0000 0.2500  4 Au 2.54
10 Zn 0.5000 0.0000 0.7500  4 Au 2.54
11 Zn 0.0000 0.2500 0.5000  4 Au 2.54
12 Zn 0.0000 0.7500 0.5000  4 Au 2.54
13 Ba 0.5000 0.5000 0.5000  12 Zn 4.01, 12 Au 4.01
14 Ba 0.0000 0.0000 0.0000  12 Zn 4.01, 12 Au 4.01

## Properties
energy relative to the elements	-1.86	eV per formula unit
space-group type	Pm-3n (223)
energy above the most stable polymorph in this dataset	24	meV per atom

---

Crystalline Ta2IrPt at its relaxed geometry. Source: Alexandria, functional PBE.

Unit cell a=4.9138 b=4.9138 c=2.8476 alpha=90.00 beta=90.00 gamma=109.21
With the nearest neighbours (Å) after each atom.
Atoms (fractional coordinates):
1 Ta 0.0000 0.0000 0.0000  4 Ir 2.84, 4 Pt 2.84, 4 Ta 2.85
2 Ta 0.5000 0.5000 0.0000  4 Pt 2.84, 4 Ir 2.84, 4 Ta 2.85
3 Pt 0.0000 0.5000 0.5000  8 Ta 2.84, 2 Ir 2.85, 2 Pt 2.85
4 Ir 0.5000 0.0000 0.5000  8 Ta 2.84, 2 Pt 2.85, 2 Ir 2.85

## Properties
energy relative to the elements	-2.55	eV per formula unit
space-group type	Cmmm (65)

---

Crystalline Y2TlBOs at its relaxed geometry. Source: Alexandria, functional PBE.

Unit cell a=5.1186 b=5.1186 c=4.0510 alpha=90.00 beta=90.00 gamma=90.00
With the nearest neighbours (Å) after each atom.
Atoms (fractional coordinates):
1 Y 0.0000 0.5000 0.0000  2 B 2.56
2 Y 0.5000 0.0000 0.0000  2 B 2.56
3 Tl 0.5000 0.5000 0.5000  8 Y 3.26, 4 Os 3.62
4 Os 0.0000 0.0000 0.5000  2 B 2.03
5 B 0.0000 0.0000 0.0000  2 Os 2.03

## Properties
energy relative to the elements	-1.54	eV per formula unit
space-group type	P4/mmm (123)

---

Crystalline NpAs2W at its relaxed geometry. Source: Alexandria, functional PBE.

Unit cell a=3.0270 b=3.0270 c=9.9377 alpha=81.24 beta=81.24 gamma=60.00
With the nearest neighbours (Å) after each atom.
Atoms (fractional coordinates):
1 As 0.1009 0.1009 0.6973  3 W 2.60
2 As 0.8991 0.8991 0.3027  3 W 2.60
3 W 0.5000 0.5000 0.5000  6 As 2.60
4 Np 0.0000 0.0000 0.0000  2 As 2.96, 6 Np 3.03

## Properties
energy relative to the elements	0.68	eV per formula unit
space-group type	R-3m (166)

---

Crystalline SrBePt3 at its relaxed geometry. Source: Alexandria, functional PBE.

Unit cell a=21.4883 b=5.4381 c=9.8014 alpha=90.00 beta=161.10 gamma=90.00
With the nearest neighbours (Å) after each atom.
Atoms (fractional coordinates):
1 Be 0.9004 0.7324 0.3936  5 Pt 2.21-2.45
2 Be 0.0996 0.2676 0.6064  5 Pt 2.21-2.45
3 Be 0.4004 0.7676 0.8936  5 Pt 2.21-2.45
4 Be 0.5996 0.2324 0.1064  5 Pt 2.21-2.45
5 Pt 0.5912 0.7365 0.4817  1 Be 2.31
6 Pt 0.9631 0.6770 0.3049  2 Be 2.21-2.43
7 Pt 0.2640 0.4751 0.7736  2 Be 2.34-2.45
8 Pt 0.2360 0.9751 0.7264  2 Be 2.34-2.45
9 Pt 0.9088 0.2365 0.0183  1 Be 2.31
10 Pt 0.0369 0.3230 0.6951  2 Be 2.21-2.43
11 Pt 0.4631 0.8230 0.8049  2 Be 2.21-2.43
12 Pt 0.5369 0.1770 0.1951  2 Be 2.21-2.43
13 Pt 0.7640 0.0249 0.2736  2 Be 2.34-2.45
14 Pt 0.4088 0.2635 0.5183  1 Be 2.31
15 Pt 0.7360 0.5249 0.2264  2 Be 2.34-2.45
16 Pt 0.0912 0.7635 0.9817  1 Be 2.31
17 Sr 0.6500 0.2369 0.7427  10 Pt 3.07-3.43, 1 Be 3.21
18 Sr 0.8500 0.7369 0.7573  10 Pt 3.07-3.43, 1 Be 3.21
19 Sr 0.3500 0.7631 0.2573  10 Pt 3.07-3.43, 1 Be 3.21
20 Sr 0.1500 0.2631 0.2427  10 Pt 3.07-3.43, 1 Be 3.21

## Properties
energy relative to the elements	-2.93	eV per formula unit
space-group type	P2_1/c (14)
energy above the most stable polymorph in this dataset	158	meV per atom